No. 1
The following is a GGA-PBE calculation of crystalline TbMgScAg at its relaxed geometry, from Alexandria.

## Properties
Fermi-level density of states = 4.909 states/eV per cell
M_tot = 0.000 Bohr magnetons per cell
Energy relative to the elements = -0.118 eV per atom
E = -15.88 eV for the cell shown

a b c (Å): 5.1152 5.1152 5.1152
angles (deg): 60.00 60.00 60.00
Last column: nearest neighbours and their distance in Å.
Fractional coordinates of all 4 atoms:
1 Sc 0.5000 0.5000 0.5000  4 Ag 3.13, 4 Mg 3.13
2 Mg 0.7500 0.7500 0.7500  4 Tb 3.13, 4 Sc 3.13
3 Tb 0.0000 0.0000 0.0000  4 Mg 3.13, 4 Ag 3.13
4 Ag 0.2500 0.2500 0.2500  4 Tb 3.13, 4 Sc 3.13

No. 2
The following is a GGA-PBE calculation of crystalline Dy10In3Bi3 at its relaxed geometry, from Alexandria.

## Properties
Fermi-level density of states = 11.512 states/eV per cell
M_tot = 0.000 Bohr magnetons per cell
Energy relative to the elements = -0.559 eV per atom
E = -74.82 eV for the cell shown

a b c (Å): 6.5968 9.0603 9.0603
angles (deg): 120.00 90.00 90.00
Last column: nearest neighbours and their distance in Å.
Fractional coordinates of all 16 atoms:
1 Dy 0.2567 0.3333 0.6667  2 Dy 3.21-3.39, 3 In 3.21, 3 Bi 3.26
2 Dy 0.0000 0.7645 0.7645  3 Bi 3.13-3.34
3 Bi 0.0000 0.3960 0.3960  7 Dy 3.13-3.34
4 In 0.5000 0.3947 0.0000  7 Dy 3.12-3.35
5 Dy 0.5000 0.7643 0.0000  3 In 3.12-3.35
6 Dy 0.0000 0.0000 0.2355  3 Bi 3.13-3.34
7 In 0.5000 0.0000 0.3947  7 Dy 3.12-3.35
8 Dy 0.2567 0.6667 0.3333  2 Dy 3.21-3.39, 3 In 3.21, 3 Bi 3.26
9 Bi 0.0000 0.6040 0.0000  7 Dy 3.13-3.34
10 In 0.5000 0.6053 0.6053  7 Dy 3.12-3.35
11 Dy 0.5000 0.0000 0.7643  3 In 3.12-3.35
12 Dy 0.7433 0.3333 0.6667  2 Dy 3.21-3.39, 3 In 3.21, 3 Bi 3.26
13 Bi 0.0000 0.0000 0.6040  7 Dy 3.13-3.34
14 Dy 0.5000 0.2357 0.2357  3 In 3.12-3.35
15 Dy 0.7433 0.6667 0.3333  2 Dy 3.21-3.39, 3 In 3.21, 3 Bi 3.26
16 Dy 0.0000 0.2355 0.0000  3 Bi 3.13-3.34

No. 3
The following is a GGA-PBE calculation of crystalline KAgSb2I at its relaxed geometry, from Alexandria.

## Properties
Fermi-level density of states = 3.709 states/eV per cell
M_tot = 2.019 Bohr magnetons per cell
E = -13.52 eV for the cell shown
Uncorrected formation energy = 0.045 eV per atom

a b c (Å): 5.3482 5.3482 6.9017
angles (deg): 90.00 90.00 90.00
Last column: nearest neighbours and their distance in Å.
Fractional coordinates of all 5 atoms:
1 Ag 0.0000 0.0000 0.0000  4 Sb 2.67
2 K 0.5000 0.5000 0.5000  4 I 3.78
3 I 0.0000 0.0000 0.5000  2 Ag 3.45, 4 K 3.78
4 Sb 0.5000 0.0000 0.0000  2 Ag 2.67
5 Sb 0.0000 0.5000 0.0000  2 Ag 2.67

No. 4
The following is a GGA-PBE calculation of crystalline Pm2Er3Th4 at its relaxed geometry, from Alexandria.

## Properties
Fermi-level density of states = 12.121 states/eV per cell
M_tot = 0.000 Bohr magnetons per cell
Energy relative to the elements = 0.051 eV per atom
E = -52.41 eV for the cell shown

a b c (Å): 6.1952 5.0161 10.7651
angles (deg): 89.98 107.09 113.90
Last column: nearest neighbours and their distance in Å.
Fractional coordinates of all 9 atoms:
1 Th 0.9930 0.9963 0.3346  6 Er 3.52-3.65, 3 Th 3.54-3.55, 3 Pm 3.55-3.60
2 Th 0.6688 0.3345 0.1110  4 Th 3.55-3.57, 4 Pm 3.56-3.58, 4 Er 3.56-3.59
3 Er 0.0000 0.0000 0.0000  4 Pm 3.55, 8 Th 3.56-3.62
4 Er 0.3269 0.6635 0.5546  3 Er 3.51-3.61, 6 Th 3.52-3.65, 3 Pm 3.59-3.60
5 Th 0.3312 0.6655 0.8890  4 Th 3.55-3.57, 4 Pm 3.56-3.58, 4 Er 3.56-3.59
6 Th 0.0070 0.0037 0.6654  6 Er 3.52-3.65, 3 Th 3.54-3.55, 3 Pm 3.55-3.60
7 Pm 0.6679 0.3342 0.7789  7 Th 3.55-3.60, 5 Er 3.55-3.60
8 Pm 0.3321 0.6658 0.2211  7 Th 3.55-3.60, 5 Er 3.55-3.60
9 Er 0.6731 0.3365 0.4454  3 Er 3.51-3.61, 6 Th 3.52-3.65, 3 Pm 3.59-3.60

- Among the records above, which one has the highest E?
  KAgSb2I